(1)
Density functional theory data (PBE) for an optimized crystal structure of La2TmHg.

## Properties
Total moment ... 0.002 μB/atom
Energy of formation ... -128 meV per atom
D(E_F) ... 16.6 states/eV/cell
Final energy ... -45.423 eV per cell

Unit cell a=3.7181 b=3.7181 c=32.7200 alpha=90.00 beta=90.00 gamma=120.00
Closest atoms and distances in Å follow each position.
Space group R3m (No. 160, hexagonal axes)
One atom of each set of equivalent atoms:
La1 0.0000 0.0000 0.0000  3 Hg 3.37, 3 Tm 3.59, 6 La 3.72
La2 0.0000 0.0000 0.1750  3 Hg 3.35, 3 Tm 3.56, 6 La 3.72
Tm1 0.0000 0.0000 0.7547  6 La 3.56-3.59, 6 Tm 3.72
Hg1 0.0000 0.0000 0.5871  6 La 3.35-3.37, 6 Hg 3.72

(2)
Density functional theory data (PBE) for an optimized crystal structure of La3TmHg12.

## Properties
Total moment ... 0.000 μB/atom
Energy of formation ... -344 meV per atom
D(E_F) ... 16.9 states/eV/cell
Final energy ... -28.385 eV per cell

Unit cell a=4.7580 b=4.7580 c=18.7009 alpha=90.00 beta=90.00 gamma=90.00
Closest atoms and distances in Å follow each position.
Space group P4/mmm (No. 123)
One atom of each set of equivalent atoms:
La1 0.0000 0.0000 0.0000  12 Hg 3.36-3.39
La2 0.0000 0.0000 0.2593  12 Hg 3.34-3.41
Tm1 0.0000 0.0000 0.5000  12 Hg 3.21-3.36
Hg1 0.0000 0.5000 0.1290  8 Hg 3.36-3.42, 4 La 3.39-3.41
Hg2 0.0000 0.5000 0.3848  8 Hg 3.21-3.36, 2 Tm 3.21, 2 La 3.34
Hg3 0.5000 0.5000 0.0000  4 La 3.36, 8 Hg 3.39
Hg4 0.5000 0.5000 0.2606  8 Hg 3.33-3.42, 4 La 3.36
Hg5 0.5000 0.5000 0.5000  8 Hg 3.21, 4 Tm 3.36

(3)
Density functional theory data (PBE) for an optimized crystal structure of La2TmHg.

## Properties
Total moment ... 0.000 μB/atom
Energy of formation ... -107 meV per atom
D(E_F) ... 11.3 states/eV/cell
Final energy ... -30.115 eV per cell

Unit cell a=3.6519 b=3.5778 c=19.6843 alpha=90.00 beta=90.00 gamma=90.00
Closest atoms and distances in Å follow each position.
Space group Amm2 (No. 38)
One atom of each set of equivalent atoms:
La1 0.0000 0.0000 0.0000  4 Hg 3.43, 8 La 3.58-3.79
La2 0.5000 0.0000 0.3578  2 Tm 3.52, 8 La 3.58-3.79
Tm1 0.0000 0.0000 0.2050  4 Hg 3.10
Hg1 0.5000 0.0000 0.6159  4 Tm 3.10, 4 La 3.43

(4)
Density functional theory data (PBE) for an optimized crystal structure of LaTmHg6.

## Properties
Total moment ... 0.000 μB/atom
Energy of formation ... -355 meV per atom
D(E_F) ... 12.8 states/eV/cell
Final energy ... -28.094 eV per cell

Unit cell a=5.0456 b=6.7924 c=11.7274 alpha=90.00 beta=90.00 gamma=90.00
Closest atoms and distances in Å follow each position.
Space group Amm2 (No. 38)
One atom of each set of equivalent atoms:
La1 0.0000 0.0000 0.0000  12 Hg 3.24-3.40
Tm1 0.5000 0.0000 0.6732  12 Hg 3.17-3.41
Hg1 0.0000 0.0000 0.5089  2 Tm 3.17, 8 Hg 3.18-3.48, 2 La 3.40
Hg2 0.0000 0.2484 0.7505  2 Tm 3.17, 8 Hg 3.18-3.48, 2 La 3.38-3.40
Hg3 0.5000 0.0000 0.1739  8 Hg 3.18-3.51, 2 La 3.24, 2 Tm 3.40
Hg4 0.5000 0.2370 0.4167  7 Hg 3.18-3.51, 2 La 3.24, 2 Tm 3.37-3.41

(5)
Density functional theory data (PBE) for an optimized crystal structure of LaTmHg.

## Properties
Total moment ... 0.000 μB/atom
Energy of formation ... -333 meV per atom
D(E_F) ... 13.1 states/eV/cell
Final energy ... -42.797 eV per cell

Unit cell a=17.1066 b=3.7928 c=5.5125 alpha=90.00 beta=90.24 gamma=90.00
Closest atoms and distances in Å follow each position.
Space group C2/m (No. 12)
One atom of each set of equivalent atoms:
La1 0.0787 0.0000 0.2440  6 Hg 3.35-3.48
Tm1 0.2318 0.0000 0.7490  2 Hg 3.05, 4 Tm 3.40-3.41
Hg1 0.0918 0.5000 0.7432  2 Tm 3.05, 4 La 3.35-3.36

(6)
Density functional theory data (PBE) for an optimized crystal structure of La2TmHg5.

## Properties
Total moment ... 0.032 μB/atom
Energy of formation ... -416 meV per atom
D(E_F) ... 13.6 states/eV/cell
Final energy ... -38.330 eV per cell

Unit cell a=5.2452 b=5.2452 c=15.3864 alpha=90.00 beta=90.00 gamma=90.00
Closest atoms and distances in Å follow each position.
Space group I4/mmm (No. 139)
One atom of each set of equivalent atoms:
La1 0.0000 0.0000 0.2367  8 Hg 3.24-3.49
Tm1 0.0000 0.0000 0.5000  8 Hg 3.15
Hg1 0.0000 0.0000 0.0000  8 Hg 3.15
Hg2 0.0000 0.5000 0.1136  2 Tm 3.15, 3 Hg 3.15-3.50, 4 La 3.24-3.49

(7)
Density functional theory data (PBE) for an optimized crystal structure of La2YTm2Hg5.

## Properties
Total moment ... 0.000 μB/atom
Energy of formation ... -363 meV per atom
D(E_F) ... 13.1 states/eV/cell
Final energy ... -60.806 eV per cell

Unit cell a=11.6632 b=11.6632 c=4.1106 alpha=90.00 beta=90.00 gamma=90.00
Closest atoms and distances in Å follow each position.
Space group P4/mbm (No. 127)
One atom of each set of equivalent atoms:
La1 0.1736 0.3264 0.0000  3 Tm 3.27-3.56, 6 Hg 3.52
Y1 0.0000 0.0000 0.0000  8 Hg 3.13
Tm1 0.1284 0.6284 0.0000  6 Hg 2.95-3.05, 1 La 3.27
Hg1 0.0000 0.5000 0.5000  4 Tm 2.95
Hg2 0.0821 0.8154 0.5000  2 Tm 3.05, 2 Y 3.13, 2 Hg 3.33

(8)
Density functional theory data (PBE) for an optimized crystal structure of LaVHg2.

## Properties
Total moment ... 0.907 μB/atom
Energy of formation ... 289 meV per atom
D(E_F) ... 10.6 states/eV/cell
Final energy ... -53.971 eV per cell

Unit cell a=4.6997 b=4.6997 c=20.2172 alpha=90.00 beta=90.00 gamma=90.00
Closest atoms and distances in Å follow each position.
Space group I-42d (No. 122)
One atom of each set of equivalent atoms:
La1 0.0000 0.0000 0.0000  4 Hg 3.17, 4 V 3.32
V1 0.0000 0.0000 0.5000  4 Hg 2.91
Hg1 0.1806 0.2500 0.6250  2 Hg 2.90, 2 V 2.91, 2 La 3.17